Entry from Alexandria via LeMat-Bulk: a relaxed structure of Al4TeRh (GGA-PBE). Values from VASP.

Output
energy relative to the elements, uncorrected	0.19	eV/atom
VASP energy	-24.295	eV for the cell shown
M_tot	0.0	μB/f.u.
calculated density	5.26	Mg/m³

```
&SYSTEM
  ibrav = 0, nat = 6, ntyp = 3
/
ATOMIC_SPECIES
Al 26.98 Al.upf
Te 127.60 Te.upf
Rh 102.91 Rh.upf
ATOMIC_POSITIONS crystal
Al 0.124 0.124 0.124
Al 0.124 0.124 0.627
Al 0.124 0.627 0.124
Al 0.627 0.124 0.124
Te 0.500 0.500 0.500
Rh 0.750 0.750 0.750
CELL_PARAMETERS angstrom
0.000 3.765 3.765
3.765 0.000 3.765
3.765 3.765 0.000
```